Entry 1:
# TbErHgRu

TbErHgRu after structural relaxation (PBE, Alexandria via LeMat-Bulk).

Summary:
Space-group type   F-43m, No. 216
Formation energy from the elements   -364.8 meV per atom
Energy above the lowest structure with this stoichiometry   127 meV/atom
VASP energy   -20.23 eV for the cell shown

Unit cell a=5.018 b=5.018 c=5.018 alpha=60.00 beta=60.00 gamma=60.00
Element x y z (fractional)
Tb: 0.000 0.000 0.000
Er: 0.500 0.500 0.500
Hg: 0.750 0.750 0.750
Ru: 0.250 0.250 0.250

Entry 2:
# La6CeRh4

La6CeRh4 after structural relaxation (PBE, Alexandria via LeMat-Bulk).

Summary:
Space-group type   P1, No. 1
Formation energy from the elements   -479.6 meV per atom
VASP energy   -70.18 eV for the cell shown

Unit cell a=5.988 b=5.997 c=9.150 alpha=103.99 beta=107.61 gamma=93.19
Element x y z (fractional)
La: 0.000 0.000 0.000
La: 0.022 0.428 0.359
La: 0.208 0.040 0.645
La: 0.543 0.948 0.330
La: 0.603 0.476 0.003
La: 0.648 0.575 0.628
Ce: 0.099 0.477 0.963
Rh: 0.023 0.868 0.278
Rh: 0.186 0.570 0.712
Rh: 0.462 0.425 0.278
Rh: 0.737 0.123 0.695

Entry 3:
# SbIrPt2

SbIrPt2 after structural relaxation (PBE, Alexandria via LeMat-Bulk).

Summary:
Space-group type   P4/mmm, No. 123
Uncorrected formation energy   -0.13 eV/f.u.
VASP energy   -25.19 eV for the cell shown

Unit cell a=3.997 b=3.997 c=4.161 alpha=90.00 beta=90.00 gamma=90.00
Element x y z (fractional)
Sb: 0.000 0.000 0.000
Ir: 0.500 0.500 0.000
Pt: 0.000 0.500 0.500
Pt: 0.500 0.000 0.500

Entry 4:
# Ag4TeBrF

Ag4TeBrF after structural relaxation (PBE, Alexandria via LeMat-Bulk).

Summary:
Space-group type   P2_1/m, No. 11
Uncorrected formation energy   -2.51 eV/f.u.
VASP energy   -41.21 eV for the cell shown

Unit cell a=7.033 b=5.984 c=8.205 alpha=90.00 beta=115.00 gamma=90.00
Element x y z (fractional)
Ag: 0.078 0.007 0.207
Ag: 0.078 0.493 0.207
Ag: 0.334 0.250 0.557
Ag: 0.349 0.250 0.070
Ag: 0.651 0.750 0.930
Ag: 0.666 0.750 0.443
Ag: 0.922 0.507 0.793
Ag: 0.922 0.993 0.793
Te: 0.286 0.750 0.020
Te: 0.714 0.250 0.980
Br: 0.354 0.750 0.547
Br: 0.646 0.250 0.453
F: 0.144 0.250 0.717
F: 0.856 0.750 0.283

Entry 5:
# Zr2NbSi

Zr2NbSi after structural relaxation (PBE, Alexandria via LeMat-Bulk).

Summary:
Space-group type   R-3m, No. 166
Uncorrected formation energy   -0.15 eV/f.u.
VASP energy   -32.74 eV for the cell shown

Unit cell a=8.316 b=8.316 c=8.316 alpha=23.64 beta=23.64 gamma=23.64
Element x y z (fractional)
Zr: 0.242 0.242 0.242
Zr: 0.758 0.758 0.758
Nb: 0.000 0.000 0.000
Si: 0.500 0.500 0.500

Entry 6:
# Ac12InOs5

Ac12InOs5 after structural relaxation (PBE, Alexandria via LeMat-Bulk).

Summary:
Space-group type   Immm, No. 71
Formation energy from the elements   -45.7 meV per atom
VASP energy   -109.01 eV for the cell shown

Unit cell a=9.192 b=9.192 c=9.192 alpha=112.53 beta=110.58 gamma=105.39
Element x y z (fractional)
Ac: 0.037 0.225 0.812
Ac: 0.180 0.278 0.457
Ac: 0.180 0.722 0.902
Ac: 0.329 0.010 0.681
Ac: 0.329 0.648 0.319
Ac: 0.413 0.225 0.188
Ac: 0.587 0.775 0.812
Ac: 0.671 0.352 0.681
Ac: 0.671 0.990 0.319
Ac: 0.820 0.278 0.098
Ac: 0.820 0.722 0.543
Ac: 0.963 0.775 0.188
In: 0.500 0.500 0.000
Os: 0.000 0.000 0.000
Os: 0.111 0.611 0.500
Os: 0.335 0.000 0.335
Os: 0.665 0.000 0.665
Os: 0.889 0.389 0.500

Entry 7:
# LiCa

LiCa after structural relaxation (PBE, Alexandria via LeMat-Bulk).

Summary:
Space-group type   P6_3/mmc, No. 194
Formation energy from the elements   114.5 meV per atom
Energy above the lowest structure with this stoichiometry   103 meV/atom
VASP energy   -7.37 eV for the cell shown

Unit cell a=3.747 b=3.747 c=10.983 alpha=90.00 beta=90.00 gamma=120.00
Element x y z (fractional)
Li: 0.333 0.667 0.250
Li: 0.667 0.333 0.750
Ca: 0.000 0.000 0.000
Ca: 0.000 0.000 0.500

Entry 8:
# BaSn2Au5

BaSn2Au5 after structural relaxation (PBE, Alexandria via LeMat-Bulk).

Summary:
Space-group type   Immm, No. 71
Formation energy from the elements   -376.1 meV per atom
VASP energy   -29.32 eV for the cell shown

Unit cell a=7.137 b=7.137 c=7.137 alpha=142.28 beta=117.03 gamma=75.79
Element x y z (fractional)
Ba: 0.000 0.000 0.000
Sn: 0.255 0.755 0.500
Sn: 0.745 0.245 0.500
Au: 0.182 0.371 0.811
Au: 0.440 0.629 0.811
Au: 0.500 0.000 0.500
Au: 0.560 0.371 0.189
Au: 0.818 0.629 0.189

Entry 9:
# La8Nd5Al

La8Nd5Al after structural relaxation (PBE, Alexandria via LeMat-Bulk).

Summary:
Space-group type   C2, No. 5
Formation energy from the elements   126.9 meV per atom
VASP energy   -65.22 eV for the cell shown

Unit cell a=8.692 b=8.692 c=10.462 alpha=126.97 beta=126.97 gamma=63.28
Element x y z (fractional)
La: 0.027 0.027 0.187
La: 0.225 0.454 0.866
La: 0.488 0.020 0.913
La: 0.493 0.190 0.596
La: 0.546 0.775 0.134
La: 0.810 0.507 0.404
La: 0.973 0.973 0.813
La: 0.980 0.512 0.087
Nd: 0.248 0.637 0.600
Nd: 0.363 0.752 0.400
Nd: 0.424 0.263 0.286
Nd: 0.737 0.576 0.714
Nd: 0.943 0.057 0.500
Al: 0.693 0.307 0.000

Entry 10:
# Ba2ScSnSb

Ba2ScSnSb after structural relaxation (PBE, Alexandria via LeMat-Bulk).

Summary:
Space-group type   P4/mmm, No. 123
Uncorrected formation energy   0.78 eV/f.u.
VASP energy   -17.52 eV for the cell shown

Unit cell a=6.328 b=6.328 c=5.376 alpha=90.00 beta=90.00 gamma=90.00
Element x y z (fractional)
Ba: 0.000 0.500 0.000
Ba: 0.500 0.000 0.000
Sc: 0.000 0.000 0.000
Sn: 0.500 0.500 0.500
Sb: 0.000 0.000 0.500

Entry 11:
# Si2TcAs

Si2TcAs after structural relaxation (PBE, Alexandria via LeMat-Bulk).

Summary:
Space-group type   I-42d, No. 122
Uncorrected formation energy   1.54 eV/f.u.
VASP energy   -48.64 eV for the cell shown

Unit cell a=6.725 b=6.725 c=6.725 alpha=130.83 beta=130.83 gamma=72.08
Element x y z (fractional)
Si: 0.108 0.625 0.983
Si: 0.375 0.358 0.483
Si: 0.642 0.125 0.017
Si: 0.875 0.892 0.517
Tc: 0.000 0.000 0.000
Tc: 0.750 0.250 0.500
As: 0.250 0.750 0.500
As: 0.500 0.500 0.000

Entry 12:
# CsBa3S

CsBa3S after structural relaxation (PBE, Alexandria via LeMat-Bulk).

Summary:
Space-group type   Pm-3m, No. 221
Uncorrected formation energy   3.37 eV/f.u.
Energy above the lowest structure with this stoichiometry   1288 meV/atom
VASP energy   -7.38 eV for the cell shown

Unit cell a=6.333 b=6.333 c=6.333 alpha=90.00 beta=90.00 gamma=90.00
Element x y z (fractional)
Cs: 0.000 0.000 0.000
Ba: 0.000 0.000 0.500
Ba: 0.000 0.500 0.000
Ba: 0.500 0.000 0.000
S: 0.500 0.500 0.500